First-principles (GGA-PBE) data for CaTiSi4O10 after structural relaxation, as listed in the Alexandria database.

Unit cell a=7.477 b=7.477 c=15.531 alpha=90.00 beta=90.00 gamma=90.00
Each line ends with the local moment (μB).
Sites, in units of the cell vectors:
Si: 0.668 0.751 0.350  0.00
Si: 0.251 0.832 0.350  0.00
Si: 0.832 0.251 0.150  0.00
Si: 0.668 0.249 0.850  0.00
Si: 0.751 0.332 0.650  0.00
Si: 0.749 0.832 0.850  0.00
Si: 0.251 0.168 0.850  0.00
Si: 0.332 0.751 0.850  0.00
Si: 0.832 0.749 0.650  0.00
Si: 0.249 0.668 0.650  0.00
Si: 0.168 0.251 0.650  0.00
Si: 0.249 0.332 0.150  0.00
Si: 0.751 0.668 0.150  0.00
Si: 0.168 0.749 0.150  0.00
Si: 0.332 0.249 0.350  0.00
Si: 0.749 0.168 0.350  0.00
O: 0.703 0.297 0.750  0.01
O: 0.951 0.749 0.130  0.00
O: 0.249 0.549 0.130  0.00
O: 0.247 0.106 0.583  -0.01
O: 0.797 0.797 0.750  0.01
O: 0.751 0.451 0.130  0.00
O: 0.049 0.749 0.630  0.00
O: 0.703 0.703 0.250  0.01
O: 0.753 0.894 0.583  -0.01
O: 0.751 0.549 0.630  0.00
O: 0.451 0.249 0.870  0.00
O: 0.394 0.253 0.083  -0.01
O: 0.106 0.247 0.917  -0.01
O: 0.251 0.951 0.870  0.00
O: 0.749 0.951 0.370  0.00
O: 0.247 0.894 0.083  -0.01
O: 0.049 0.251 0.130  0.00
O: 0.606 0.747 0.083  -0.01
O: 0.894 0.753 0.917  -0.01
O: 0.251 0.049 0.370  0.00
O: 0.606 0.253 0.583  -0.01
O: 0.253 0.394 0.417  -0.01
O: 0.297 0.297 0.250  0.01
O: 0.106 0.753 0.417  -0.01
O: 0.297 0.703 0.750  0.01
O: 0.549 0.751 0.870  0.00
O: 0.747 0.606 0.417  -0.01
O: 0.203 0.797 0.250  0.01
O: 0.249 0.451 0.630  0.00
O: 0.549 0.249 0.370  0.00
O: 0.753 0.106 0.083  -0.01
O: 0.749 0.049 0.870  0.00
O: 0.747 0.394 0.917  -0.01
O: 0.951 0.251 0.630  0.00
O: 0.203 0.203 0.750  0.01
O: 0.894 0.247 0.417  -0.01
O: 0.253 0.606 0.917  -0.01
O: 0.451 0.751 0.370  0.00
O: 0.797 0.203 0.250  0.01
O: 0.394 0.747 0.583  -0.01
Ca: 0.500 0.500 0.000  0.01
Ca: 0.000 0.000 0.500  0.01
Ca: 0.000 0.000 0.000  0.01
Ca: 0.500 0.500 0.500  0.01
Ti: 0.500 0.000 0.080  1.48
Ti: 0.500 0.000 0.580  1.48
Ti: 0.000 0.500 0.420  1.48
Ti: 0.000 0.500 0.920  1.48

Properties
Uncorrected formation energy   -2.730 eV per atom